# 1
A geometry-optimized Li3NiAu structure, computed with PBE.

Geometry as POSCAR:
```
Li3NiAu
1.0
-2.315 3.444 -1.512
1.458 -0.815 -4.088
-3.467 -2.642 -0.710
Ni Li Au
1 3 1
direct
0.000 0.000 0.000
0.500 0.000 0.000
0.000 0.500 0.000
0.000 0.000 0.500
0.500 0.500 0.500
```

* energy of formation from the pure elements: 0.22 eV per atom
* SG: No. 221
* excess energy over the best structure of this formula in the dataset: 0.0 meV per atom
* VASP energy: -2.74 eV/atom

# 2
A geometry-optimized Sm5GaPt2 structure, computed with PBE.

Geometry as POSCAR:
```
Sm5GaPt2
1.0
7.183 0.000 -3.391
-1.601 7.002 -3.391
-0.271 -0.340 8.729
Sm Pt Ga
10 4 2
direct
0.303 0.803 0.284
0.697 0.197 0.716
0.480 0.303 0.284
0.500 0.500 0.000
0.803 0.980 0.284
0.520 0.697 0.716
0.197 0.020 0.716
0.980 0.480 0.284
0.020 0.520 0.716
0.000 0.000 0.000
0.634 0.134 0.000
0.866 0.634 0.000
0.366 0.866 0.000
0.134 0.366 0.000
0.750 0.750 0.500
0.250 0.250 0.500
```

* energy of formation from the pure elements: -0.77 eV per atom
* SG: No. 140
* VASP energy: -5.61 eV/atom

# 3
A geometry-optimized Cs5Zr2Se6 structure, computed with PBE.

Geometry as POSCAR:
```
Cs5Zr2Se6
1.0
-1.974 1.084 8.168
-3.618 -6.681 3.751
15.212 -7.879 8.192
Cs Zr Se
10 4 12
direct
0.629 0.371 0.250
0.685 0.204 0.998
0.746 0.937 0.723
0.937 0.746 0.223
0.315 0.796 0.002
0.254 0.063 0.277
0.371 0.629 0.750
0.063 0.254 0.777
0.204 0.685 0.498
0.796 0.315 0.502
0.089 0.366 0.071
0.366 0.089 0.571
0.911 0.634 0.929
0.634 0.911 0.429
0.401 0.307 0.637
0.693 0.599 0.863
0.111 0.013 0.627
0.654 0.795 0.567
0.013 0.111 0.127
0.346 0.205 0.433
0.987 0.889 0.873
0.205 0.346 0.933
0.795 0.654 0.067
0.599 0.693 0.363
0.307 0.401 0.137
0.889 0.987 0.373
```

* formation energy from raw total energies: -1.329 eV/atom
* SG: No. 15
* VASP energy: -4.58 eV/atom

# 4
A geometry-optimized Mg2CrC structure, computed with PBE.

Geometry as POSCAR:
```
Mg2CrC
1.0
8.326 0.000 0.000
0.000 8.326 0.000
4.163 4.163 1.963
Mg C Cr
4 2 2
direct
0.875 0.727 0.750
0.477 0.125 0.250
0.375 0.523 0.750
0.273 0.625 0.250
0.500 0.500 0.000
0.250 0.750 0.500
0.000 0.000 0.000
0.750 0.250 0.500
```

* energy of formation from the pure elements: 0.46 eV per atom
* SG: No. 122
* VASP energy: -5.05 eV/atom

# 5
A geometry-optimized CuReNi4 structure, computed with PBE.

Geometry as POSCAR:
```
CuReNi4
1.0
-3.893 -1.673 -0.938
-0.392 -1.690 4.642
-2.752 6.268 0.241
Ni Cu Re
8 2 2
direct
0.060 0.165 0.666
0.462 0.582 0.834
0.940 0.665 0.666
0.538 0.418 0.166
0.060 0.335 0.334
0.940 0.835 0.334
0.538 0.082 0.834
0.462 0.918 0.166
0.000 0.500 0.000
0.000 0.000 0.000
0.428 0.750 0.500
0.572 0.250 0.500
```

* energy of formation from the pure elements: 0.08 eV per atom
* SG: No. 13
* excess energy over the best structure of this formula in the dataset: 0.0 meV per atom
* VASP energy: -6.53 eV/atom

# 6
A geometry-optimized Hf3TcI structure, computed with PBE.

Geometry as POSCAR:
```
Hf3TcI
1.0
5.094 0.000 0.000
0.000 5.094 0.000
0.000 0.000 5.094
Tc I Hf
1 1 3
direct
0.500 0.500 0.500
0.000 0.000 0.000
0.500 0.000 0.000
0.000 0.000 0.500
0.000 0.500 0.000
```

* formation energy from raw total energies: 1.659 eV/atom
* SG: No. 221
* excess energy over the best structure of this formula in the dataset: 1183.3 meV per atom
* VASP energy: -6.70 eV/atom

# 7
A geometry-optimized Tc2TeOs structure, computed with PBE.

Geometry as POSCAR:
```
Tc2TeOs
1.0
-4.204 -2.801 1.767
-1.487 -4.360 -2.724
3.898 2.442 2.735
Os Tc Te
1 2 1
direct
0.271 0.771 0.500
0.729 0.229 0.500
0.000 0.000 0.000
0.500 0.500 0.000
```

* formation energy from raw total energies: 0.519 eV/atom
* SG: No. 44
* excess energy over the best structure of this formula in the dataset: 98.6 meV per atom
* VASP energy: -8.26 eV/atom

# 8
A geometry-optimized KMn2Ni structure, computed with PBE.

Geometry as POSCAR:
```
KMn2Ni
1.0
3.954 0.000 0.000
0.000 2.546 -0.293
0.000 0.906 7.017
Ni Mn K
1 2 1
direct
0.500 0.250 0.250
0.000 0.755 0.117
0.000 0.745 0.383
0.500 0.750 0.750
```

* energy of formation from the pure elements: 0.81 eV per atom
* SG: No. 10
* excess energy over the best structure of this formula in the dataset: 246.8 meV per atom
* VASP energy: -5.49 eV/atom

# 9
A geometry-optimized Ca2LaCeIn4 structure, computed with PBE.

Geometry as POSCAR:
```
Ca2LaCeIn4
1.0
-2.986 4.267 1.758
-5.298 -0.697 1.286
-0.456 -0.689 9.491
In La Ce Ca
4 1 1 2
direct
0.126 0.126 0.622
0.874 0.874 0.378
0.376 0.376 0.871
0.624 0.624 0.129
0.000 0.000 0.000
0.500 0.500 0.500
0.750 0.750 0.750
0.250 0.250 0.250
```

* energy of formation from the pure elements: -0.45 eV per atom
* SG: No. 166
* VASP energy: -3.68 eV/atom

# 10
A geometry-optimized Pm2Tm3Pb4 structure, computed with PBE.

Geometry as POSCAR:
```
Pm2Tm3Pb4
1.0
-5.447 -1.669 -4.197
0.825 -8.618 2.356
-2.711 2.104 8.645
Tm Pb Pm
6 8 4
direct
0.543 0.750 0.586
0.457 0.250 0.414
0.043 0.750 0.586
0.500 0.500 0.000
0.957 0.250 0.414
0.000 0.000 0.000
0.186 0.946 0.372
0.782 0.250 0.063
0.814 0.054 0.628
0.282 0.250 0.063
0.218 0.750 0.937
0.314 0.446 0.628
0.718 0.750 0.937
0.686 0.554 0.372
0.612 0.911 0.224
0.388 0.089 0.776
0.112 0.589 0.224
0.888 0.411 0.776
```

* energy of formation from the pure elements: -0.43 eV per atom
* SG: No. 64
* excess energy over the best structure of this formula in the dataset: 0.0 meV per atom
* VASP energy: -4.62 eV/atom

# 11
A geometry-optimized TcIrPt structure, computed with PBE.

Geometry as POSCAR:
```
TcIrPt
1.0
-0.071 2.290 -1.521
1.324 -2.225 -0.926
-5.730 -2.165 -2.991
Tc Pt Ir
1 1 1
direct
0.333 0.667 0.675
0.667 0.333 0.339
0.000 0.000 0.987
```

* energy of formation from the pure elements: -0.12 eV per atom
* SG: No. 156
* excess energy over the best structure of this formula in the dataset: 53.0 meV per atom
* VASP energy: -8.54 eV/atom

# 12
A geometry-optimized Pa3Hg3PdSe8 structure, computed with PBE.

Geometry as POSCAR:
```
Pa3Hg3PdSe8
1.0
-0.171 -7.032 -4.144
5.847 5.382 -1.333
1.492 -5.356 9.027
Pd Se Hg Pa
1 8 3 3
direct
0.000 0.000 0.500
0.712 0.937 0.661
0.288 0.063 0.339
0.724 0.448 0.669
0.775 0.063 0.339
0.225 0.937 0.661
0.276 0.552 0.331
0.788 0.577 0.348
0.212 0.423 0.652
0.500 0.500 0.000
0.000 0.000 0.000
0.000 0.500 0.000
0.500 0.500 0.500
0.000 0.500 0.500
0.500 0.000 0.500
```

* formation energy from raw total energies: -0.848 eV/atom
* SG: No. 12
* VASP energy: -5.01 eV/atom

- VASP energy of number 9 (Ca2LaCeIn4)?
  -3.68 eV/atom

- Which formula does entry 9 have?
  Ca2LaCeIn4